Entry from Alexandria via LeMat-Bulk: AgSnTeN2 at its PBEsol-relaxed geometry (SCAN).

Cell and atoms, written as POSCAR:
```
AgSnTeN2
1.0
4.089 0.000 0.000
0.000 4.089 0.000
0.000 0.000 6.107
Ag Sn Te N
1 1 1 2
Cartesian
0.000 0.000 0.000 Ag
2.044 2.044 3.053 Sn
2.044 2.044 0.000 Te
0.000 2.044 3.053 N
2.044 0.000 3.053 N
```

Calculated values
Symmetry = P4/mmm (123)
Total energy = -23.43 eV per atom
Crystal system = tetragonal
Formation energy without anion corrections = 1.20 eV/atom